(1)
Y2RuF | PBE | optimized geometry

a = 6.7698 Å, b = 6.7698 Å, c = 6.7698 Å
α = 90.00°, β = 90.00°, γ = 90.00°
Closest atoms and distances in Å follow each position.
Space group Fm-3m (No. 225)
Symmetry-distinct sites (fractional):
Y 0.2500 0.2500 0.2500  4 F 2.93, 4 Ru 2.93
Ru 0.0000 0.0000 0.0000  8 Y 2.93
F 0.0000 0.0000 0.5000  8 Y 2.93

Results
total energy: -6.9992 eV per atom
energy relative to the elements, uncorrected: -980 meV/atom
N(E_F): 2.8 states/eV/f.u.

(2)
Y2RuF | PBE | optimized geometry

a = 5.6304 Å, b = 5.6304 Å, c = 12.0349 Å
α = 90.00°, β = 90.00°, γ = 90.00°
Closest atoms and distances in Å follow each position.
Space group I-42d (No. 122)
Symmetry-distinct sites (fractional):
Y 0.2155 0.2500 0.1250  2 F 2.39, 2 Ru 2.61
Ru 0.0000 0.0000 0.5000  4 Y 2.61
F 0.0000 0.0000 0.0000  4 Y 2.39

Results
total energy: -7.0626 eV per atom
energy relative to the elements, uncorrected: -1044 meV/atom
N(E_F): 1.7 states/eV/f.u.

(3)
YRu3F | PBE | optimized geometry

a = 4.3234 Å, b = 4.3234 Å, c = 4.3234 Å
α = 90.00°, β = 90.00°, γ = 90.00°
Closest atoms and distances in Å follow each position.
Space group Pm-3m (No. 221)
Symmetry-distinct sites (fractional):
Y 0.0000 0.0000 0.0000  12 Ru 3.06
Ru 0.0000 0.5000 0.5000  2 F 2.16
F 0.5000 0.5000 0.5000  6 Ru 2.16

Results
total energy: -6.7842 eV per atom
energy relative to the elements, uncorrected: 448 meV/atom
N(E_F): 6.9 states/eV/f.u.

(4)
Zn2RuF2 | PBE | optimized geometry

a = 4.5647 Å, b = 4.5647 Å, c = 6.5869 Å
α = 90.00°, β = 90.00°, γ = 90.00°
Closest atoms and distances in Å follow each position.
Space group I4/mmm (No. 139)
Symmetry-distinct sites (fractional):
Zn 0.0000 0.5000 0.2500  4 F 2.33
Ru 0.0000 0.0000 0.0000  2 F 2.11
F 0.0000 0.0000 0.3204  1 Ru 2.11, 4 Zn 2.33

Results
total energy: -3.5341 eV per atom
energy relative to the elements, uncorrected: -421 meV/atom
N(E_F): 0.0 states/eV/f.u.

(5)
Zn2RuF | PBE | optimized geometry

a = 6.1166 Å, b = 6.1166 Å, c = 6.1166 Å
α = 90.00°, β = 90.00°, γ = 90.00°
Closest atoms and distances in Å follow each position.
Space group Fm-3m (No. 225)
Symmetry-distinct sites (fractional):
Zn 0.2500 0.2500 0.2500  4 F 2.65, 4 Ru 2.65
Ru 0.0000 0.0000 0.0000  8 Zn 2.65
F 0.0000 0.0000 0.5000  8 Zn 2.65

Results
total energy: -3.3931 eV per atom
energy relative to the elements, uncorrected: 31 meV/atom
N(E_F): 7.6 states/eV/f.u.

(6)
Zn3RuF | PBE | optimized geometry

a = 4.8258 Å, b = 4.8258 Å, c = 4.8258 Å
α = 90.00°, β = 90.00°, γ = 90.00°
Closest atoms and distances in Å follow each position.
Space group Pm-3m (No. 221)
Symmetry-distinct sites (fractional):
Zn 0.0000 0.0000 0.5000  2 Ru 2.41
Ru 0.0000 0.0000 0.0000  6 Zn 2.41
F 0.5000 0.5000 0.5000  12 Zn 3.41

Results
total energy: -2.6719 eV per atom
energy relative to the elements, uncorrected: 322 meV/atom
N(E_F): 5.6 states/eV/f.u.

(7)
ZnRu3F | PBE | optimized geometry

a = 4.6623 Å, b = 4.6623 Å, c = 4.6623 Å
α = 90.00°, β = 90.00°, γ = 90.00°
Closest atoms and distances in Å follow each position.
Space group Pm-3m (No. 221)
Symmetry-distinct sites (fractional):
Zn 0.0000 0.0000 0.0000  6 Ru 2.33
Ru 0.0000 0.0000 0.5000  2 Zn 2.33
F 0.5000 0.5000 0.5000  12 Ru 3.30

Results
total energy: -4.5141 eV per atom
energy relative to the elements, uncorrected: 1680 meV/atom
N(E_F): 7.0 states/eV/f.u.

(8)
ZnRu2F | PBE | optimized geometry

a = 6.0213 Å, b = 6.0213 Å, c = 6.0213 Å
α = 90.00°, β = 90.00°, γ = 90.00°
Closest atoms and distances in Å follow each position.
Space group Fm-3m (No. 225)
Symmetry-distinct sites (fractional):
Zn 0.0000 0.0000 0.0000  8 Ru 2.61
Ru 0.2500 0.2500 0.2500  4 F 2.61, 4 Zn 2.61
F 0.0000 0.0000 0.5000  8 Ru 2.61

Results
total energy: -5.0245 eV per atom
energy relative to the elements, uncorrected: 400 meV/atom
N(E_F): 2.5 states/eV/f.u.